VASP calculation (GGA-PBEsol) on crystalline CdCoRh2 at its relaxed geometry.

The structure belongs to space group I-4m2 (No. 119); the cell edges are 3.7968, 3.7968 and 7.7250 Å and the angles 90.00°, 90.00° and 90.00°. The distinct sites, in fractional coordinates, are Cd at (0.0000, 0.0000, 0.0000), Co at (0.0000, 0.5000, 0.2500), Rh at (0.0000, 0.0000, 0.5000) and Rh at (0.0000, 0.5000, 0.7500).

For the raw total energy, the calculation gives -6.10 eV per atom. The energy relative to the lowest polymorph listed for this composition comes out at 0 meV per atom.